A plane-wave DFT calculation with PBE-GGA was carried out for a relaxed structure of BaNaTi2O.

Output
E_form (uncorrected) (eV per atom): -0.465

Unit cell a=4.2722 b=4.2722 c=5.7394 alpha=90.00 beta=90.00 gamma=90.00
With the nearest neighbours (Å) after each atom.
Space group P4/mmm (No. 123)
Unique sites:
Ba 0.0000 0.0000 0.0000  2 O 2.87, 4 Na 3.02
Na 0.5000 0.5000 0.0000  4 Ba 3.02
Ti 0.0000 0.5000 0.5000  2 O 2.14
O 0.0000 0.0000 0.5000  4 Ti 2.14